Sr2MgNiAg | PBE-GGA | optimized geometry

Calculated values
- Crystal system: tetragonal
- Uncorrected energy: -13.55 eV per cell
- Magnetization: 0.00 μB/cell
- Energy of formation: 0.01 eV/atom
- SG: No. 123

```
Sr2MgNiAg
1.0
5.631 0.000 0.000
0.000 5.631 0.000
0.000 0.000 4.918
Sr Mg Ni Ag
2 1 1 1
Direct
0.000 0.500 0.000
0.500 0.000 0.000
0.000 0.000 0.500
0.000 0.000 0.000
0.500 0.500 0.500
```